No. 1
An optimized crystal structure of Er8Tm3Mg, computed with PBE.

```
Er8Tm3Mg
1.0
3.451 -0.019 -0.531
0.129 8.497 0.530
3.647 4.893 12.057
Er Tm Mg
8 3 1
Cartesian
2.265 8.944 2.926
4.186 2.811 4.152
5.179 9.343 10.382
4.962 4.395 9.143
2.765 5.183 6.306
2.035 3.939 1.610
3.041 10.550 7.918
4.468 8.161 5.790
4.073 6.083 3.297
3.630 6.546 11.904
3.585 6.730 0.100
3.150 7.261 8.755
```

* raw total energy: -4.271 eV per atom
* SG: Cm, No. 8
* formation energy from the elements: 0.02 eV per atom


No. 2
An optimized crystal structure of YIn2Ge, computed with PBE.

```
YIn2Ge
1.0
-4.170 -4.330 -5.721
7.098 -1.522 -4.022
1.840 -5.405 -3.269
Y In Ge
2 4 2
Cartesian
0.000 0.000 0.000
-0.433 -6.331 -6.931
2.788 -6.315 -6.281
4.193 -3.033 -4.296
3.632 -9.108 -10.801
-1.077 -4.059 -4.645
5.201 -4.926 -6.081
1.464 -2.926 -4.871
```

* raw total energy: -4.388 eV per atom
* SG: I-42d, No. 122
* formation energy from the elements: -0.25 eV per atom


No. 3
An optimized crystal structure of Li3Mo2WN6, computed with PBE.

```
Li3Mo2WN6
1.0
-3.749 2.157 2.762
-0.566 -4.769 -1.809
3.554 -1.031 4.037
N W Li Mo
6 1 3 2
Cartesian
-2.411 -2.194 1.646
0.302 -2.004 0.412
-0.742 0.268 1.912
-1.063 -1.639 4.578
1.650 -1.449 3.345
-0.019 -3.912 3.079
0.000 0.000 0.000
-1.437 0.477 4.012
-0.380 -1.822 2.495
0.676 -4.120 0.978
-2.687 -0.154 1.237
-1.628 -2.458 -0.284
```

* raw total energy: -8.005 eV per atom
* SG: C2/m, No. 12
* formation energy without anion corrections: -0.4797 eV/atom